# 1
VASP calculation (PBE-GGA) on a geometry-optimized ZnHgP structure.

abc: 6.513 6.345 3.186
angles: 78.59 72.75 28.66
Positions (direct):
Zn (0.000, 0.000, 0.000)
Hg (0.690, 0.690, 0.310)
P (0.391, 0.391, 0.609)

Summary:
As for the polymorph energy (0 for the lowest one): 0.199 eV/atom. For the density of states at the Fermi level, the calculation gives 0.89 states/eV/cell.

***

# 2
VASP calculation (PBE-GGA) on a geometry-optimized Zn2HgP structure.

abc: 4.974 4.974 4.974
angles: 134.76 111.60 85.86
Positions (direct):
Zn (0.217, 0.217, 0.000)
Zn (0.783, 0.783, 0.000)
Hg (0.500, 0.000, 0.500)
P (0.000, 0.500, 0.500)

Summary:
For the density of states at the Fermi level, the calculation gives 1.28 states/eV/cell. The value obtained for the total energy is -7.28 eV per cell.

***

# 3
VASP calculation (PBE-GGA) on a geometry-optimized ZnHgP structure.

abc: 6.246 6.246 6.246
angles: 147.91 147.91 46.01
Positions (direct):
Zn (0.000, 0.000, 0.000)
Hg (0.230, 0.230, 0.000)
P (0.456, 0.456, 0.000)

Summary:
As for the polymorph energy (0 for the lowest one): 0.038 eV/atom. For the density of states at the Fermi level, the calculation gives 1.58 states/eV/cell.